# PaCuPN | Alexandria via LeMat-Bulk | PBE-GGA | optimized geometry
data_PaCuPN
_cell_length_a 3.8237
_cell_length_b 3.8237
_cell_length_c 8.1134
_cell_angle_alpha 90.00
_cell_angle_beta 90.00
_cell_angle_gamma 90.00
_symmetry_space_group_name_H-M 'P 4/n m m'
_symmetry_Int_Tables_number 129
loop_
_symmetry_equiv_pos_as_xyz
'x,y,z'
'-x,-y,-z'
'-y+1/2,x,z'
'y+1/2,-x,-z'
'-x+1/2,-y+1/2,z'
'x+1/2,y+1/2,-z'
'y,-x+1/2,z'
'-y,x+1/2,-z'
'x+1/2,-y,-z'
'-x+1/2,y,z'
'-y,-x,-z'
'y,x,z'
'-x,y+1/2,-z'
'x,-y+1/2,z'
'y+1/2,x+1/2,-z'
'-y+1/2,-x+1/2,z'
loop_
_atom_site_label
_atom_site_type_symbol
_atom_site_fract_x
_atom_site_fract_y
_atom_site_fract_z
_atom_site_occupancy
Pa1 Pa 0.2500 0.2500 0.1531 1
Cu1 Cu 0.2500 0.7500 0.5000 1
P1 P 0.2500 0.2500 0.6759 1
N1 N 0.2500 0.7500 0.0000 1
# * raw formation energy: -1.2129 eV per atom
# * E: -8.0447 eV/atom
# * magnetization: 0.00 μB per formula unit